DFT (PBE) results for a geometry-optimized LiGaI2 structure.

Total energy ... -2.577 eV/atom
Energy relative to the lowest polymorph listed for this composition ... 0.71 eV per formula unit
V ... 125 Å³ per cell

POSCAR file:
```
LiGaI2
1.0
0.0000 3.9657 3.9657
3.9657 0.0000 3.9657
3.9657 3.9657 0.0000
Li Ga I
1 1 2
Cartesian
0.0000 0.0000 0.0000
3.9657 3.9657 3.9657
1.9829 1.9829 1.9829
5.9486 5.9486 5.9486
```

DFT (PBE) results for a geometry-optimized LiGa2I8 structure.

Total energy ... -2.364 eV/atom
Energy relative to the lowest polymorph listed for this composition ... 0.00 eV per formula unit
V ... 508 Å³ per cell

POSCAR file:
```
LiGa2I8
1.0
6.8337 -5.5151 0.0000
6.8337 5.5151 0.0000
-0.9863 0.0000 6.7388
Li Ga I
1 2 8
Cartesian
0.0000 0.0000 0.0000
1.9584 0.0000 4.3535
10.7228 0.0000 2.3853
5.3119 3.4588 1.6419
2.3883 0.0000 1.8029
7.3692 3.4588 5.0969
4.2598 0.0000 5.4819
8.4214 0.0000 1.2570
5.3119 -3.4588 1.6419
10.2929 0.0000 4.9359
7.3692 -3.4588 5.0969
```

DFT (PBE) results for a geometry-optimized LiGaI2 structure.

Total energy ... -2.756 eV/atom
Energy relative to the lowest polymorph listed for this composition ... 0.00 eV per formula unit
V ... 577 Å³ per cell

POSCAR file:
```
LiGaI2
1.0
4.4044 0.0000 0.0000
0.0000 7.7091 0.0000
0.0000 0.0000 16.9816
Li Ga I
4 4 8
Cartesian
0.0006 0.8900 0.8769
4.4038 4.7446 7.6139
2.2028 2.9646 16.1047
2.2016 6.8191 9.3677
0.0324 2.6617 11.5232
2.1698 5.0474 3.0324
2.2346 1.1928 5.4585
4.3720 6.5163 13.9493
4.4029 3.5960 5.1113
0.0015 7.4506 3.3795
0.0024 3.6874 0.6707
2.1998 4.0218 9.1615
2.2007 0.2585 11.8703
2.2037 4.1131 13.6021
2.2046 0.1672 16.3109
4.4020 7.5420 7.8201
```

DFT (PBE) results for a geometry-optimized LiGa2I structure.

Total energy ... -2.437 eV/atom
Energy relative to the lowest polymorph listed for this composition ... 0.00 eV per formula unit
V ... 205 Å³ per cell

POSCAR file:
```
LiGa2I
1.0
-4.3031 4.3031 2.7621
4.3031 -4.3031 2.7621
4.3031 4.3031 -2.7621
Li Ga I
2 4 2
Cartesian
0.0000 0.0000 0.0000
0.0000 4.3031 1.3811
6.4546 1.9112 -0.6905
1.9112 2.1515 0.6905
-2.1515 2.3918 2.0716
2.3918 2.1515 3.4526
4.3031 0.0000 1.3811
0.0000 0.0000 2.7621
```

DFT (PBE) results for a geometry-optimized Li2GaI4 structure.

Total energy ... -2.657 eV/atom
Energy relative to the lowest polymorph listed for this composition ... 0.00 eV per formula unit
V ... 264 Å³ per cell

POSCAR file:
```
Li2GaI4
1.0
-3.2041 3.2041 6.4352
3.2041 -3.2041 6.4352
3.2041 3.2041 -6.4352
Li Ga I
2 1 4
Cartesian
3.2041 0.0000 3.2176
0.0000 3.2041 3.2176
0.0000 0.0000 0.0000
1.5249 -1.5249 4.8419
1.6792 1.6792 1.5933
-1.5249 1.5249 4.8419
1.5249 1.5249 8.0284
```

DFT (PBE) results for a geometry-optimized LiGaI4 structure.

Total energy ... -2.371 eV/atom
Energy relative to the lowest polymorph listed for this composition ... 1.39 eV per formula unit
V ... 665 Å³ per cell

POSCAR file:
```
LiGaI4
1.0
8.0428 0.0000 0.0000
0.0000 8.0428 0.0000
0.0000 0.0000 10.2815
Li Ga I
2 2 8
Cartesian
0.0000 0.0000 0.0000
0.0000 0.0000 5.1407
0.0000 4.0214 0.0000
4.0214 0.0000 5.1407
1.8960 2.1179 0.0000
1.8960 5.9249 0.0000
2.1179 1.8960 5.1407
2.1179 6.1467 5.1407
5.9249 1.8960 5.1407
5.9249 6.1467 5.1407
6.1467 2.1179 0.0000
6.1467 5.9249 0.0000
```

DFT (PBE) results for a geometry-optimized LiGaI2 structure.

Total energy ... -2.728 eV/atom
Energy relative to the lowest polymorph listed for this composition ... 0.11 eV per formula unit
V ... 332 Å³ per cell

POSCAR file:
```
LiGaI2
1.0
-3.5680 3.5680 6.5224
3.5680 -3.5680 6.5224
3.5680 3.5680 -6.5224
Li Ga I
2 2 4
Cartesian
0.0000 0.0000 0.0000
0.0000 3.5680 3.2612
3.5680 0.0000 3.2612
0.0000 0.0000 6.5224
5.3519 1.4100 -1.6306
1.4100 1.7840 1.6306
-1.7840 2.1580 4.8918
2.1580 1.7840 8.1531
```

DFT (PBE) results for a geometry-optimized LiGa2I8 structure.

Total energy ... -2.292 eV/atom
Energy relative to the lowest polymorph listed for this composition ... 0.79 eV per formula unit
V ... 509 Å³ per cell

POSCAR file:
```
LiGa2I8
1.0
8.2871 0.0000 0.0000
-4.1435 7.1768 0.0000
0.0000 0.0000 8.5504
Li Ga I
1 2 8
Cartesian
0.0000 0.0000 0.0000
0.0000 4.7845 2.7511
4.1435 2.3923 5.7993
0.0000 2.2931 2.0250
-2.1576 6.0302 2.0250
1.9859 1.1466 6.5254
0.0000 4.7845 5.3230
4.1435 2.3923 3.2274
2.1576 6.0302 2.0250
6.3012 1.1466 6.5254
4.1435 4.8837 6.5254
```

DFT (PBE) results for a geometry-optimized LiGaI2 structure.

Total energy ... -2.739 eV/atom
Energy relative to the lowest polymorph listed for this composition ... 0.07 eV per formula unit
V ... 128 Å³ per cell

POSCAR file:
```
LiGaI2
1.0
2.1859 1.2620 7.7389
-2.1859 1.2620 7.7389
0.0000 -2.5241 7.7389
Li Ga I
1 1 2
Cartesian
0.0000 0.0000 0.0000
0.0000 0.0000 3.8959
0.0000 0.0000 9.4541
0.0000 0.0000 13.8234
```

DFT (PBE) results for a geometry-optimized LiGaI4 structure.

Total energy ... -2.602 eV/atom
Energy relative to the lowest polymorph listed for this composition ... 0.00 eV per formula unit
V ... 1145 Å³ per cell

POSCAR file:
```
LiGaI4
1.0
8.5866 0.0000 0.0000
0.0000 7.8209 0.0000
-1.0297 0.0000 17.0477
Li Ga I
4 4 16
Cartesian
1.6224 0.8541 7.1378
1.1076 3.0564 15.6617
6.4493 4.7646 1.3860
5.9345 6.9668 9.9099
2.1544 4.9092 1.5481
1.6395 6.8222 10.0719
5.9174 0.9987 6.9758
5.4026 2.9118 15.4996
0.0682 5.7302 2.8683
-0.4467 6.0012 11.3922
1.1149 5.8260 16.1723
1.6297 5.9054 7.6485
1.6322 1.5822 9.8515
2.1471 2.3282 1.3277
3.8284 1.8233 5.6688
3.3135 2.0871 14.1927
4.2434 5.7338 2.8550
3.7285 5.9976 11.3789
5.4099 5.4927 15.7200
5.9247 6.2387 7.1962
5.9272 1.9155 9.3992
6.4420 1.9949 0.8753
8.0036 1.8197 5.6555
7.4887 2.0908 14.1794
```

DFT (PBE) results for a geometry-optimized LiGaI3 structure.

Total energy ... -2.351 eV/atom
Energy relative to the lowest polymorph listed for this composition ... 1.64 eV per formula unit
V ... 193 Å³ per cell

POSCAR file:
```
LiGaI3
1.0
5.7831 0.0000 0.0000
0.0000 5.7831 0.0000
0.0000 0.0000 5.7831
Li Ga I
1 1 3
Cartesian
0.0000 0.0000 0.0000
2.8916 2.8916 2.8916
0.0000 2.8916 2.8916
2.8916 0.0000 2.8916
2.8916 2.8916 0.0000
```